Density functional theory data (GGA+U) for a relaxed LiV3Zn2O8 crystal.

Values from the calculation:
Energy above the lowest structure with this stoichiometry   0.027 eV per atom

a = 5.9713 Å, b = 5.9713 Å, c = 14.6163 Å
α = 90.00°, β = 90.00°, γ = 120.00°
Space group R-3m (No. 166, hexagonal axes)
Inequivalent atoms, fractional coordinates:
1 Li 0.0000 0.0000 0.0000 x3
2 V 0.0000 0.5000 0.5000 x9
3 Zn 0.0000 0.0000 0.3799 x6
4 O 0.0000 0.0000 0.2427 x6
5 O 0.0248 0.5124 0.7612 x18